Entry 1:
# Sm3NpPt8 GGA-PBE relaxed
# * density: 16090 kg/m3
# * total DFT energy (no corrections): -86.859 eV per cell
data_Sm3NpPt8
_chemical_formula_sum 'Sm3 Np1 Pt8'
_symmetry_space_group_name_H-M 'P 1'
_symmetry_Int_Tables_number 1
_cell_length_a 9.4828
_cell_length_b 9.4828
_cell_length_c 9.4828
_cell_angle_alpha 33.56
_cell_angle_beta 33.56
_cell_angle_gamma 33.56
loop_
_symmetry_equiv_pos_as_xyz
'x,y,z'
loop_
_atom_site_label
_atom_site_fract_x
_atom_site_fract_y
_atom_site_fract_z
Sm1 0.0000 0.0000 0.0000
Sm2 0.1255 0.1255 0.1255
Sm3 0.5024 0.5024 0.5024
Np1 0.6270 0.6270 0.6270
Pt1 0.0635 0.5638 0.5638
Pt2 0.0642 0.0642 0.5637
Pt3 0.0642 0.5637 0.0642
Pt4 0.3137 0.3137 0.3137
Pt5 0.5638 0.0635 0.5638
Pt6 0.5637 0.0642 0.0642
Pt7 0.5638 0.5638 0.0635
Pt8 0.8138 0.8138 0.8138

---

Entry 2:
# Np2SnPt GGA-PBE relaxed
# * density: 14027 kg/m3
# * total DFT energy (no corrections): -36.788 eV per cell
data_Np2SnPt
_chemical_formula_sum 'Np2 Sn1 Pt1'
_symmetry_space_group_name_H-M 'P 1'
_symmetry_Int_Tables_number 1
_cell_length_a 3.3530
_cell_length_b 3.3530
_cell_length_c 8.2952
_cell_angle_alpha 90.00
_cell_angle_beta 90.00
_cell_angle_gamma 90.00
loop_
_symmetry_equiv_pos_as_xyz
'x,y,z'
loop_
_atom_site_label
_atom_site_fract_x
_atom_site_fract_y
_atom_site_fract_z
Np1 0.0000 0.0000 0.2199
Np2 0.0000 0.0000 0.7801
Sn1 0.5000 0.5000 0.5000
Pt1 0.5000 0.5000 0.0000

---

Entry 3:
# NpSn3Pt12 GGA-PBE relaxed
# * density: 17879 kg/m3
# * total DFT energy (no corrections): -104.516 eV per cell
data_NpSn3Pt12
_chemical_formula_sum 'Np1 Sn3 Pt12'
_symmetry_space_group_name_H-M 'P 1'
_symmetry_Int_Tables_number 1
_cell_length_a 4.0817
_cell_length_b 4.0817
_cell_length_c 16.3567
_cell_angle_alpha 90.00
_cell_angle_beta 90.00
_cell_angle_gamma 90.00
loop_
_symmetry_equiv_pos_as_xyz
'x,y,z'
loop_
_atom_site_label
_atom_site_fract_x
_atom_site_fract_y
_atom_site_fract_z
Np1 0.0000 0.0000 0.0000
Sn1 0.0000 0.0000 0.2536
Sn2 0.0000 0.0000 0.5000
Sn3 0.0000 0.0000 0.7464
Pt1 0.0000 0.5000 0.1277
Pt2 0.0000 0.5000 0.3768
Pt3 0.0000 0.5000 0.6232
Pt4 0.0000 0.5000 0.8723
Pt5 0.5000 0.0000 0.1277
Pt6 0.5000 0.0000 0.3768
Pt7 0.5000 0.0000 0.6232
Pt8 0.5000 0.0000 0.8723
Pt9 0.5000 0.5000 0.0000
Pt10 0.5000 0.5000 0.2534
Pt11 0.5000 0.5000 0.5000
Pt12 0.5000 0.5000 0.7466

---

Entry 4:
# NpSnPt GGA-PBE relaxed
# * density: 13448 kg/m3
# * total DFT energy (no corrections): -47.600 eV per cell
data_NpSnPt
_chemical_formula_sum 'Np2 Sn2 Pt2'
_symmetry_space_group_name_H-M 'P 1'
_symmetry_Int_Tables_number 1
_cell_length_a 8.1855
_cell_length_b 8.1855
_cell_length_c 4.9550
_cell_angle_alpha 90.00
_cell_angle_beta 90.00
_cell_angle_gamma 155.81
loop_
_symmetry_equiv_pos_as_xyz
'x,y,z'
loop_
_atom_site_label
_atom_site_fract_x
_atom_site_fract_y
_atom_site_fract_z
Np1 0.0868 0.9132 0.7500
Np2 0.9132 0.0868 0.2500
Sn1 0.2215 0.7785 0.2500
Sn2 0.7785 0.2215 0.7500
Pt1 0.4379 0.5621 0.7500
Pt2 0.5621 0.4379 0.2500

---

Entry 5:
# Np2SnPt6 GGA-PBE relaxed
# * density: 16871 kg/m3
# * total DFT energy (no corrections): -70.893 eV per cell
data_Np2SnPt6
_chemical_formula_sum 'Np2 Sn1 Pt6'
_symmetry_space_group_name_H-M 'P 1'
_symmetry_Int_Tables_number 1
_cell_length_a 5.7098
_cell_length_b 5.7098
_cell_length_c 6.1463
_cell_angle_alpha 90.00
_cell_angle_beta 90.00
_cell_angle_gamma 120.00
loop_
_symmetry_equiv_pos_as_xyz
'x,y,z'
loop_
_atom_site_label
_atom_site_fract_x
_atom_site_fract_y
_atom_site_fract_z
Np1 0.3333 0.6667 0.3343
Np2 0.6667 0.3333 0.6657
Sn1 0.0000 0.0000 0.5000
Pt1 0.1760 0.3521 0.8214
Pt2 0.1760 0.8240 0.8214
Pt3 0.3521 0.1760 0.1786
Pt4 0.6479 0.8240 0.8214
Pt5 0.8240 0.1760 0.1786
Pt6 0.8240 0.6479 0.1786

---

Entry 6:
# NpSnPt6 GGA-PBE relaxed
# * density: 18258 kg/m3
# * total DFT energy (no corrections): -57.085 eV per cell
data_NpSnPt6
_chemical_formula_sum 'Np1 Sn1 Pt6'
_symmetry_space_group_name_H-M 'P 1'
_symmetry_Int_Tables_number 1
_cell_length_a 4.1054
_cell_length_b 4.1054
_cell_length_c 8.2357
_cell_angle_alpha 90.00
_cell_angle_beta 90.00
_cell_angle_gamma 90.00
loop_
_symmetry_equiv_pos_as_xyz
'x,y,z'
loop_
_atom_site_label
_atom_site_fract_x
_atom_site_fract_y
_atom_site_fract_z
Np1 0.0000 0.0000 0.0000
Sn1 0.0000 0.0000 0.5000
Pt1 0.0000 0.5000 0.2520
Pt2 0.0000 0.5000 0.7480
Pt3 0.5000 0.0000 0.2520
Pt4 0.5000 0.0000 0.7480
Pt5 0.5000 0.5000 0.0000
Pt6 0.5000 0.5000 0.5000

---

Entry 7:
# Np2SnPt9 GGA-PBE relaxed
# * density: 18526 kg/m3
# * total DFT energy (no corrections): -90.563 eV per cell
data_Np2SnPt9
_chemical_formula_sum 'Np2 Sn1 Pt9'
_symmetry_space_group_name_H-M 'P 1'
_symmetry_Int_Tables_number 1
_cell_length_a 4.1265
_cell_length_b 4.1265
_cell_length_c 12.3623
_cell_angle_alpha 90.00
_cell_angle_beta 90.00
_cell_angle_gamma 90.00
loop_
_symmetry_equiv_pos_as_xyz
'x,y,z'
loop_
_atom_site_label
_atom_site_fract_x
_atom_site_fract_y
_atom_site_fract_z
Np1 0.0000 0.0000 0.1682
Np2 0.0000 0.0000 0.8318
Sn1 0.0000 0.0000 0.5000
Pt1 0.0000 0.5000 0.0000
Pt2 0.0000 0.5000 0.3363
Pt3 0.0000 0.5000 0.6637
Pt4 0.5000 0.0000 0.0000
Pt5 0.5000 0.0000 0.3363
Pt6 0.5000 0.0000 0.6637
Pt7 0.5000 0.5000 0.1711
Pt8 0.5000 0.5000 0.5000
Pt9 0.5000 0.5000 0.8289

---

Entry 8:
# NpSnPt4 GGA-PBE relaxed
# * density: 16828 kg/m3
# * total DFT energy (no corrections): -44.176 eV per cell
data_NpSnPt4
_chemical_formula_sum 'Np1 Sn1 Pt4'
_symmetry_space_group_name_H-M 'P 1'
_symmetry_Int_Tables_number 1
_cell_length_a 5.4123
_cell_length_b 5.4123
_cell_length_c 5.4123
_cell_angle_alpha 60.00
_cell_angle_beta 60.00
_cell_angle_gamma 60.00
loop_
_symmetry_equiv_pos_as_xyz
'x,y,z'
loop_
_atom_site_label
_atom_site_fract_x
_atom_site_fract_y
_atom_site_fract_z
Np1 0.0000 0.0000 0.0000
Sn1 0.7500 0.7500 0.7500
Pt1 0.3750 0.3750 0.3750
Pt2 0.3750 0.3750 0.8750
Pt3 0.3750 0.8750 0.3750
Pt4 0.8750 0.3750 0.3750

---

Entry 9:
# NpSnPt GGA-PBE relaxed
# * density: 12369 kg/m3
# * total DFT energy (no corrections): -24.272 eV per cell
data_NpSnPt
_chemical_formula_sum 'Np1 Sn1 Pt1'
_symmetry_space_group_name_H-M 'P 1'
_symmetry_Int_Tables_number 1
_cell_length_a 4.7113
_cell_length_b 4.7113
_cell_length_c 4.7113
_cell_angle_alpha 60.00
_cell_angle_beta 60.00
_cell_angle_gamma 60.00
loop_
_symmetry_equiv_pos_as_xyz
'x,y,z'
loop_
_atom_site_label
_atom_site_fract_x
_atom_site_fract_y
_atom_site_fract_z
Np1 0.0000 0.0000 0.0000
Sn1 0.5000 0.5000 0.5000
Pt1 0.7500 0.7500 0.7500

---

Entry 10:
# Sr2NpSn3Pt4 GGA-PBE relaxed
# * density: 10498 kg/m3
# * total DFT energy (no corrections): -59.544 eV per cell
data_Sr2NpSn3Pt4
_chemical_formula_sum 'Sr2 Np1 Sn3 Pt4'
_symmetry_space_group_name_H-M 'P 1'
_symmetry_Int_Tables_number 1
_cell_length_a 4.7097
_cell_length_b 4.7097
_cell_length_c 11.0439
_cell_angle_alpha 90.00
_cell_angle_beta 90.00
_cell_angle_gamma 90.00
loop_
_symmetry_equiv_pos_as_xyz
'x,y,z'
loop_
_atom_site_label
_atom_site_fract_x
_atom_site_fract_y
_atom_site_fract_z
Sr1 0.0000 0.5000 0.2279
Sr2 0.5000 0.0000 0.7721
Np1 0.0000 0.0000 0.5000
Sn1 0.0000 0.5000 0.8804
Sn2 0.5000 0.0000 0.1196
Sn3 0.5000 0.5000 0.5000
Pt1 0.0000 0.0000 0.0000
Pt2 0.0000 0.5000 0.6400
Pt3 0.5000 0.0000 0.3600
Pt4 0.5000 0.5000 0.0000

---

Entry 11:
# NpUSnPt GGA-PBE relaxed
# * density: 14973 kg/m3
# * total DFT energy (no corrections): -34.644 eV per cell
data_NpUSnPt
_chemical_formula_sum 'Np1 U1 Sn1 Pt1'
_symmetry_space_group_name_H-M 'P 1'
_symmetry_Int_Tables_number 1
_cell_length_a 4.9828
_cell_length_b 4.9828
_cell_length_c 4.9828
_cell_angle_alpha 60.00
_cell_angle_beta 60.00
_cell_angle_gamma 60.00
loop_
_symmetry_equiv_pos_as_xyz
'x,y,z'
loop_
_atom_site_label
_atom_site_fract_x
_atom_site_fract_y
_atom_site_fract_z
Np1 0.0000 0.0000 0.0000
U1 0.7500 0.7500 0.7500
Sn1 0.2500 0.2500 0.2500
Pt1 0.5000 0.5000 0.5000

---

Entry 12:
# SrNpPt4 GGA-PBE relaxed
# * density: 15572 kg/m3
# * total DFT energy (no corrections): -42.798 eV per cell
data_SrNpPt4
_chemical_formula_sum 'Sr1 Np1 Pt4'
_symmetry_space_group_name_H-M 'P 1'
_symmetry_Int_Tables_number 1
_cell_length_a 5.5029
_cell_length_b 5.5029
_cell_length_c 5.5029
_cell_angle_alpha 60.00
_cell_angle_beta 60.00
_cell_angle_gamma 60.00
loop_
_symmetry_equiv_pos_as_xyz
'x,y,z'
loop_
_atom_site_label
_atom_site_fract_x
_atom_site_fract_y
_atom_site_fract_z
Sr1 0.0000 0.0000 0.0000
Np1 0.2500 0.2500 0.2500
Pt1 0.1258 0.6247 0.6247
Pt2 0.6247 0.1258 0.6247
Pt3 0.6247 0.6247 0.1258
Pt4 0.6247 0.6247 0.6247